3
Lattice="4.569 0.000 0.000 2.284 3.957 0.000 2.284 1.319 3.730" Properties=species:S:1:pos:R:3 comment="meta-GGA SCAN SiAuBr, single point on PBEsol structure" raw_formation_energy_mev_per_atom=499 total_magnetization_mub_per_atom=0.000 pbc="T T T"
Si 2.284 1.319 0.933
Br 4.569 2.638 1.865
Au 0.000 0.000 0.000

4
Lattice="3.886 0.000 0.000 0.000 3.886 0.000 0.000 0.000 5.148" Properties=species:S:1:pos:R:3 comment="meta-GGA SCAN SiAu2Br, single point on PBEsol structure" e_above_lowest_polymorph_kj_per_mol_fu=110 raw_formation_energy_mev_per_atom=551 total_magnetization_mub_per_atom=0.000 pbc="T T T"
Au 0.000 1.943 0.000
Au 1.943 0.000 0.000
Si 0.000 0.000 2.574
Br 1.943 1.943 2.574

5
Lattice="5.446 0.000 0.000 0.000 5.446 0.000 0.000 0.000 5.446" Properties=species:S:1:pos:R:3 comment="meta-GGA SCAN SnAuBr3, single point on PBEsol structure" raw_formation_energy_mev_per_atom=108 total_magnetization_mub_per_atom=0.000 pbc="T T T"
Br 2.723 0.000 0.000
Br 0.000 0.000 2.723
Br 0.000 2.723 0.000
Sn 0.000 0.000 0.000
Au 2.723 2.723 2.723